1.
A plane-wave DFT calculation with GGA-PBE was carried out for a relaxed structure of ErThZr.

Results
For the total moment, the calculation gives 0.000 μB per cell. Its density of states at the Fermi level is 9.4 states/eV/cell. As for the formation energy: 0.184 eV per atom.

Cell lengths 4.975, 3.373, 10.399 Å; angles 99.39, 90.00, 90.00 degrees
Positions (direct):
Zr 0.847 0.782 0.986
Zr 0.347 0.207 0.838
Th 0.847 0.948 0.317
Th 0.347 0.042 0.506
Er 0.847 0.629 0.679
Er 0.347 0.361 0.145

=====

2.
A plane-wave DFT calculation with GGA-PBE was carried out for a relaxed structure of PuMgTl2.

Results
For the total moment, the calculation gives 6.082 μB per cell. Its density of states at the Fermi level is 8.5 states/eV/cell. As for the formation energy: 0.021 eV per atom.

Cell lengths 3.415, 3.415, 10.618 Å; angles 80.75, 80.75, 60.00 degrees
Each line ends with the local moment (μB).
Positions (direct):
Tl 0.078 0.078 0.766  0.01
Tl 0.255 0.255 0.234  0.00
Mg 0.666 0.666 0.001  -0.01
Pu 0.500 0.500 0.499  5.66

=====

3.
A plane-wave DFT calculation with GGA-PBE was carried out for a relaxed structure of Hg2HCl.

Results
For the total moment, the calculation gives 0.000 μB per cell. Its density of states at the Fermi level is 1.5 states/eV/cell. Its total energy is -1.387 eV/atom.

Cell lengths 5.246, 5.246, 7.623 Å; angles 69.88, 69.88, 90.00 degrees
Positions (direct):
Hg 0.476 0.125 0.250
Hg 0.375 0.524 0.750
Hg 0.274 0.625 0.250
Hg 0.875 0.726 0.750
H 0.250 0.750 0.500
H 0.500 0.500 0.000
Cl 0.000 0.000 0.000
Cl 0.750 0.250 0.500